DFT (PBE) results for a relaxed structure of TmLu4NiIr2.

Unit cell a=4.751 b=4.751 c=7.334 alpha=90.00 beta=90.00 gamma=90.00
Fractional coordinates of all 8 atoms:
Tm 0.000 0.000 0.000
Lu 0.000 0.500 0.277
Lu 0.000 0.500 0.723
Lu 0.500 0.000 0.277
Lu 0.500 0.000 0.723
Ni 0.500 0.500 0.500
Ir 0.000 0.000 0.500
Ir 0.500 0.500 0.000

Formation energy from the elements = -0.517 eV per atom
Spin magnetization = 0.0 Bohr magnetons per cell

DFT (PBE) results for a relaxed structure of KPrPbSe3.

Unit cell a=8.787 b=8.787 c=12.263 alpha=90.00 beta=90.00 gamma=151.24
Fractional coordinates of all 12 atoms:
K 0.163 0.837 0.750
K 0.837 0.163 0.250
Pr 0.500 0.500 0.000
Pr 0.500 0.500 0.500
Pb 0.108 0.892 0.250
Pb 0.892 0.108 0.750
Se 0.120 0.880 0.007
Se 0.120 0.880 0.493
Se 0.495 0.505 0.250
Se 0.505 0.495 0.750
Se 0.880 0.120 0.507
Se 0.880 0.120 0.993

Relative energy among the computed polymorphs = 0.102 eV per atom
Spin magnetization = 0.0 Bohr magnetons per cell

DFT (PBE) results for a relaxed structure of PrMg.

Unit cell a=5.619 b=9.257 c=9.257 alpha=141.70 beta=90.00 gamma=90.00
Fractional coordinates of all 10 atoms:
Pr 0.000 0.000 0.000
Pr 0.000 0.426 0.634
Pr 0.000 0.634 0.426
Pr 0.500 0.052 0.267
Pr 0.500 0.267 0.052
Mg 0.000 0.206 0.797
Mg 0.000 0.797 0.206
Mg 0.500 0.483 0.884
Mg 0.500 0.664 0.664
Mg 0.500 0.884 0.483

Relative energy among the computed polymorphs = 0.107 eV per atom
Spin magnetization = 0.1 Bohr magnetons per cell

DFT (PBE) results for a relaxed structure of UGaMo.

Unit cell a=4.522 b=4.522 c=4.522 alpha=60.00 beta=60.00 gamma=60.00
Fractional coordinates of all 3 atoms:
U 0.000 0.000 0.000
Ga 0.750 0.750 0.750
Mo 0.250 0.250 0.250

Relative energy among the computed polymorphs = 0.581 eV per atom
Spin magnetization = 0.0 Bohr magnetons per cell

DFT (PBE) results for a relaxed structure of LiUPd.

Unit cell a=4.640 b=4.640 c=4.640 alpha=60.00 beta=60.00 gamma=60.00
Fractional coordinates of all 3 atoms:
Li 0.000 0.000 0.000
U 0.250 0.250 0.250
Pd 0.500 0.500 0.500

Relative energy among the computed polymorphs = 0.439 eV per atom
Spin magnetization = 3.2 Bohr magnetons per cell

DFT (PBE) results for a relaxed structure of ZnTe2Cl4.

Unit cell a=9.287 b=9.287 c=9.287 alpha=149.95 beta=149.95 gamma=43.02
Fractional coordinates of all 7 atoms:
Zn 0.000 0.000 0.000
Te 0.337 0.337 0.000
Te 0.663 0.663 0.000
Cl 0.000 0.500 0.500
Cl 0.202 0.202 0.000
Cl 0.500 0.000 0.500
Cl 0.798 0.798 0.000

VASP energy = -2.319 eV/atom

DFT (PBE) results for a relaxed structure of UCoSi.

Unit cell a=6.935 b=4.027 c=7.105 alpha=90.00 beta=90.00 gamma=90.00
Fractional coordinates of all 12 atoms:
U 0.001 0.250 0.246
U 0.499 0.750 0.746
U 0.501 0.250 0.254
U 0.999 0.750 0.754
Co 0.246 0.750 0.408
Co 0.254 0.250 0.908
Co 0.746 0.750 0.092
Co 0.754 0.250 0.592
Si 0.245 0.250 0.579
Si 0.255 0.750 0.079
Si 0.745 0.250 0.921
Si 0.755 0.750 0.421

VASP energy = -8.361 eV/atom
Spin magnetization = 4.0 Bohr magnetons per cell

DFT (PBE) results for a relaxed structure of KDyCdS3.

Unit cell a=7.479 b=7.479 c=10.721 alpha=90.00 beta=90.00 gamma=148.18
Fractional coordinates of all 12 atoms:
K 0.243 0.757 0.750
K 0.757 0.243 0.250
Dy 0.500 0.500 0.000
Dy 0.500 0.500 0.500
Cd 0.040 0.960 0.250
Cd 0.960 0.040 0.750
S 0.125 0.875 0.049
S 0.125 0.875 0.451
S 0.432 0.568 0.250
S 0.568 0.432 0.750
S 0.875 0.125 0.549
S 0.875 0.125 0.951

Relative energy among the computed polymorphs = 0.000 eV per atom
Spin magnetization = 0.0 Bohr magnetons per cell